1.
# PBE Tb2Nd2Ho3, optimized geometry
# Excess energy over the best structure of this formula in the dataset (meV per atom): 0
# V (Å³ per cell): 230
# Energy of formation from the pure elements (eV per atom): 0.131
# Total magnetic moment (μB per formula unit): 0.00
data_Tb2Nd2Ho3
_cell_length_a 8.552
_cell_length_b 8.552
_cell_length_c 8.746
_cell_angle_alpha 115.59
_cell_angle_beta 115.59
_cell_angle_gamma 23.67
_symmetry_space_group_name_H-M 'P 1'
_symmetry_Int_Tables_number 1
_symmetry_space_group_name_Hall 'P 1'
loop_
_atom_site_label
_atom_site_type_symbol
_atom_site_fract_x
_atom_site_fract_y
_atom_site_fract_z
_atom_site_occupancy
Tb1 Tb 0.139 0.139 0.407 1
Tb2 Tb 0.861 0.861 0.593 1
Nd1 Nd 0.420 0.420 0.298 1
Nd2 Nd 0.580 0.580 0.702 1
Ho1 Ho 0.279 0.279 0.853 1
Ho2 Ho 0.500 0.500 0.000 1
Ho3 Ho 0.721 0.721 0.147 1

=====

2.
# PBE TbNd2Ho5, optimized geometry
# Excess energy over the best structure of this formula in the dataset (meV per atom): 147
# V (Å³ per cell): 518
# Energy of formation from the pure elements (eV per atom): 0.167
# Total magnetic moment (μB per formula unit): 0.00
data_TbNd2Ho5
_cell_length_a 9.501
_cell_length_b 9.501
_cell_length_c 6.542
_cell_angle_alpha 97.71
_cell_angle_beta 97.71
_cell_angle_gamma 62.63
_symmetry_space_group_name_H-M 'P 1'
_symmetry_Int_Tables_number 1
_symmetry_space_group_name_Hall 'P 1'
loop_
_atom_site_label
_atom_site_type_symbol
_atom_site_fract_x
_atom_site_fract_y
_atom_site_fract_z
_atom_site_occupancy
Tb1 Tb 0.000 0.500 0.000 1
Tb2 Tb 0.500 0.000 0.500 1
Nd1 Nd 0.166 0.675 0.882 1
Nd2 Nd 0.325 0.834 0.618 1
Nd3 Nd 0.675 0.166 0.382 1
Nd4 Nd 0.834 0.325 0.118 1
Ho1 Ho 0.011 0.189 0.647 1
Ho2 Ho 0.189 0.011 0.147 1
Ho3 Ho 0.214 0.390 0.474 1
Ho4 Ho 0.390 0.214 0.974 1
Ho5 Ho 0.441 0.559 0.250 1
Ho6 Ho 0.559 0.441 0.750 1
Ho7 Ho 0.610 0.786 0.026 1
Ho8 Ho 0.786 0.610 0.526 1
Ho9 Ho 0.811 0.989 0.853 1
Ho10 Ho 0.989 0.811 0.353 1

=====

3.
# PBE Tb5Nd2Ho, optimized geometry
# Excess energy over the best structure of this formula in the dataset (meV per atom): 106
# V (Å³ per cell): 531
# Energy of formation from the pure elements (eV per atom): 0.122
# Total magnetic moment (μB per formula unit): 0.00
data_Tb5Nd2Ho
_cell_length_a 6.127
_cell_length_b 9.047
_cell_length_c 10.402
_cell_angle_alpha 106.99
_cell_angle_beta 99.63
_cell_angle_gamma 98.74
_symmetry_space_group_name_H-M 'P 1'
_symmetry_Int_Tables_number 1
_symmetry_space_group_name_Hall 'P 1'
loop_
_atom_site_label
_atom_site_type_symbol
_atom_site_fract_x
_atom_site_fract_y
_atom_site_fract_z
_atom_site_occupancy
Tb1 Tb 0.035 0.036 0.175 1
Tb2 Tb 0.094 0.663 0.951 1
Tb3 Tb 0.203 0.371 0.475 1
Tb4 Tb 0.342 0.303 0.856 1
Tb5 Tb 0.454 0.925 0.640 1
Tb6 Tb 0.546 0.075 0.360 1
Tb7 Tb 0.658 0.697 0.144 1
Tb8 Tb 0.797 0.629 0.525 1
Tb9 Tb 0.906 0.337 0.049 1
Tb10 Tb 0.965 0.964 0.825 1
Nd1 Nd 0.205 0.683 0.309 1
Nd2 Nd 0.485 0.357 0.215 1
Nd3 Nd 0.515 0.643 0.785 1
Nd4 Nd 0.795 0.317 0.691 1
Ho1 Ho 0.000 0.000 0.500 1
Ho2 Ho 0.500 0.000 0.000 1

=====

4.
# PBE Tb3Nd4Ho2, optimized geometry
# Excess energy over the best structure of this formula in the dataset (meV per atom): 32
# V (Å³ per cell): 306
# Energy of formation from the pure elements (eV per atom): 0.086
# Total magnetic moment (μB per formula unit): 0.00
data_Tb3Nd4Ho2
_cell_length_a 6.692
_cell_length_b 6.692
_cell_length_c 14.429
_cell_angle_alpha 114.74
_cell_angle_beta 114.74
_cell_angle_gamma 31.73
_symmetry_space_group_name_H-M 'P 1'
_symmetry_Int_Tables_number 1
_symmetry_space_group_name_Hall 'P 1'
loop_
_atom_site_label
_atom_site_type_symbol
_atom_site_fract_x
_atom_site_fract_y
_atom_site_fract_z
_atom_site_occupancy
Tb1 Tb 0.000 0.000 0.000 1
Tb2 Tb 0.008 0.008 0.388 1
Tb3 Tb 0.992 0.992 0.612 1
Nd1 Nd 0.222 0.222 0.872 1
Nd2 Nd 0.283 0.283 0.392 1
Nd3 Nd 0.717 0.717 0.608 1
Nd4 Nd 0.778 0.778 0.128 1
Ho1 Ho 0.450 0.450 0.791 1
Ho2 Ho 0.550 0.550 0.209 1

=====

5.
# PBE TbNd6Ho2, optimized geometry
# Excess energy over the best structure of this formula in the dataset (meV per atom): 46
# V (Å³ per cell): 307
# Energy of formation from the pure elements (eV per atom): 0.128
# Total magnetic moment (μB per formula unit): 0.00
data_TbNd6Ho2
_cell_length_a 10.056
_cell_length_b 10.056
_cell_length_c 3.670
_cell_angle_alpha 90.00
_cell_angle_beta 90.00
_cell_angle_gamma 124.08
_symmetry_space_group_name_H-M 'P 1'
_symmetry_Int_Tables_number 1
_symmetry_space_group_name_Hall 'P 1'
loop_
_atom_site_label
_atom_site_type_symbol
_atom_site_fract_x
_atom_site_fract_y
_atom_site_fract_z
_atom_site_occupancy
Tb1 Tb 0.000 0.000 0.000 1
Nd1 Nd 0.159 0.489 0.000 1
Nd2 Nd 0.317 0.317 0.500 1
Nd3 Nd 0.489 0.159 0.000 1
Nd4 Nd 0.511 0.841 0.000 1
Nd5 Nd 0.683 0.683 0.500 1
Nd6 Nd 0.841 0.511 0.000 1
Ho1 Ho 0.178 0.822 0.500 1
Ho2 Ho 0.822 0.178 0.500 1

=====

6.
# PBE Tb2NdHo7, optimized geometry
# Excess energy over the best structure of this formula in the dataset (meV per atom): 684
# V (Å³ per cell): 391
# Energy of formation from the pure elements (eV per atom): 0.703
# Total magnetic moment (μB per formula unit): 0.00
data_Tb2NdHo7
_cell_length_a 9.194
_cell_length_b 9.194
_cell_length_c 5.556
_cell_angle_alpha 90.00
_cell_angle_beta 90.00
_cell_angle_gamma 123.65
_symmetry_space_group_name_H-M 'P 1'
_symmetry_Int_Tables_number 1
_symmetry_space_group_name_Hall 'P 1'
loop_
_atom_site_label
_atom_site_type_symbol
_atom_site_fract_x
_atom_site_fract_y
_atom_site_fract_z
_atom_site_occupancy
Tb1 Tb 0.203 0.797 0.000 1
Tb2 Tb 0.797 0.203 0.000 1
Nd1 Nd 0.500 0.500 0.500 1
Ho1 Ho 0.000 0.000 0.000 1
Ho2 Ho 0.209 0.437 0.000 1
Ho3 Ho 0.286 0.714 0.500 1
Ho4 Ho 0.437 0.209 0.000 1
Ho5 Ho 0.563 0.791 0.000 1
Ho6 Ho 0.714 0.286 0.500 1
Ho7 Ho 0.791 0.563 0.000 1

=====

7.
# PBE Tb2NdHo7, optimized geometry
# Excess energy over the best structure of this formula in the dataset (meV per atom): 0
# V (Å³ per cell): 315
# Energy of formation from the pure elements (eV per atom): 0.018
# Total magnetic moment (μB per formula unit): 0.00
data_Tb2NdHo7
_cell_length_a 6.134
_cell_length_b 7.101
_cell_length_c 7.918
_cell_angle_alpha 77.18
_cell_angle_beta 75.04
_cell_angle_gamma 73.31
_symmetry_space_group_name_H-M 'P 1'
_symmetry_Int_Tables_number 1
_symmetry_space_group_name_Hall 'P 1'
loop_
_atom_site_label
_atom_site_type_symbol
_atom_site_fract_x
_atom_site_fract_y
_atom_site_fract_z
_atom_site_occupancy
Tb1 Tb 0.200 0.301 0.100 1
Tb2 Tb 0.800 0.699 0.900 1
Nd1 Nd 0.000 0.000 0.500 1
Ho1 Ho 0.000 0.500 0.500 1
Ho2 Ho 0.201 0.799 0.100 1
Ho3 Ho 0.400 0.100 0.701 1
Ho4 Ho 0.401 0.599 0.701 1
Ho5 Ho 0.599 0.401 0.299 1
Ho6 Ho 0.600 0.900 0.299 1
Ho7 Ho 0.799 0.201 0.900 1

=====

8.
# PBE Tb3Nd5Ho3, optimized geometry
# Excess energy over the best structure of this formula in the dataset (meV per atom): 0
# V (Å³ per cell): 382
# Energy of formation from the pure elements (eV per atom): 0.315
# Total magnetic moment (μB per formula unit): 0.00
data_Tb3Nd5Ho3
_cell_length_a 11.298
_cell_length_b 11.298
_cell_length_c 3.458
_cell_angle_alpha 90.00
_cell_angle_beta 90.00
_cell_angle_gamma 120.00
_symmetry_space_group_name_H-M 'P 1'
_symmetry_Int_Tables_number 1
_symmetry_space_group_name_Hall 'P 1'
loop_
_atom_site_label
_atom_site_type_symbol
_atom_site_fract_x
_atom_site_fract_y
_atom_site_fract_z
_atom_site_occupancy
Tb1 Tb 0.000 0.596 0.000 1
Tb2 Tb 0.404 0.404 0.000 1
Tb3 Tb 0.596 0.000 0.000 1
Nd1 Nd 0.000 0.339 0.500 1
Nd2 Nd 0.333 0.667 0.500 1
Nd3 Nd 0.339 0.000 0.500 1
Nd4 Nd 0.661 0.661 0.500 1
Nd5 Nd 0.667 0.333 0.500 1
Ho1 Ho 0.000 0.841 0.500 1
Ho2 Ho 0.159 0.159 0.500 1
Ho3 Ho 0.841 0.000 0.500 1